# 1
Below is a relaxed La2AgAsO6 crystal, with properties calculated at the PBE level.

Summary:
Total moment in μB per atom: 0.000
E_form (uncorrected) in meV/atom: -2092
Final energy in eV for the cell shown: -68.02

a b c (Å): 5.4957 5.4957 5.0371
angles (deg): 90.00 90.00 90.00
Last column: nearest neighbours and their distance in Å.
Sites, in units of the cell vectors:
La 0.0000 0.5000 0.0000  4 O 2.42
La 0.5000 0.0000 0.0000  4 O 2.42
Ag 0.0000 0.0000 0.4932  1 O 2.13
As 0.5000 0.5000 0.6049  5 O 1.76-1.82
O 0.0000 0.0000 0.0710  1 Ag 2.13
O 0.2775 0.2775 0.7182  1 As 1.82
O 0.2775 0.7225 0.7182  1 As 1.82
O 0.5000 0.5000 0.2551  1 As 1.76
O 0.7225 0.2775 0.7182  1 As 1.82
O 0.7225 0.7225 0.7182  1 As 1.82

***

# 2
Below is a relaxed LaAgAsO crystal, with properties calculated at the PBE level.

Summary:
Total moment in μB per atom: 0.000
E_form (uncorrected) in meV/atom: -1675
Final energy in eV for the cell shown: -48.17

a b c (Å): 4.1921 4.1921 9.1302
angles (deg): 90.00 90.00 90.00
Last column: nearest neighbours and their distance in Å.
Sites, in units of the cell vectors:
La 0.2500 0.2500 0.1284  4 O 2.40
La 0.7500 0.7500 0.8716  4 O 2.40
Ag 0.2500 0.7500 0.5000  4 As 2.68, 4 Ag 2.96
Ag 0.7500 0.2500 0.5000  4 As 2.68, 4 Ag 2.96
As 0.2500 0.2500 0.6827  4 Ag 2.68
As 0.7500 0.7500 0.3173  4 Ag 2.68
O 0.2500 0.7500 0.0000  4 La 2.40
O 0.7500 0.2500 0.0000  4 La 2.40

***

# 3
Below is a relaxed La2AgAsP crystal, with properties calculated at the PBE level.

Summary:
Total moment in μB per atom: 0.000
DFT formation energy in eV per formula unit: -2.18
Final energy in eV for the cell shown: -24.94

a b c (Å): 5.6961 5.6961 4.7151
angles (deg): 90.00 90.00 90.00
Last column: nearest neighbours and their distance in Å.
Sites, in units of the cell vectors:
La 0.0000 0.5000 0.0000  2 As 2.85
La 0.5000 0.0000 0.0000  2 As 2.85
Ag 0.0000 0.0000 0.5000  2 As 2.36
As 0.0000 0.0000 0.0000  2 Ag 2.36
P 0.5000 0.5000 0.5000  8 La 3.70, 4 Ag 4.03